LaTa2Au after structural relaxation. Source: Alexandria, functional PBE.

Structure (POSCAR):
```
LaTa2Au
1.0
0.000 3.490 3.490
3.490 0.000 3.490
3.490 3.490 0.000
La Ta Au
1 2 1
Direct
0.000 0.000 0.000
0.250 0.250 0.250
0.500 0.500 0.500
0.750 0.750 0.750
```

=====

LaTa2Au after structural relaxation. Source: Alexandria, functional PBE.

Structure (POSCAR):
```
LaTa2Au
1.0
5.450 -1.522 0.000
5.450 1.522 0.000
-1.326 0.000 5.168
La Ta Au
1 2 1
Direct
0.000 0.000 0.000
0.229 0.229 0.719
0.771 0.771 0.281
0.500 0.500 0.500
```

=====

LaTa2Au after structural relaxation. Source: Alexandria, functional PBE.

Structure (POSCAR):
```
LaTa2Au
1.0
0.000 3.410 3.410
3.410 0.000 3.410
3.410 3.410 0.000
La Ta Au
1 2 1
Direct
0.000 0.000 0.000
0.250 0.250 0.250
0.750 0.750 0.750
0.500 0.500 0.500
```

=====

LaTa2Au after structural relaxation. Source: Alexandria, functional PBE.

Structure (POSCAR):
```
LaTa2Au
1.0
-2.074 2.074 10.606
2.074 -2.074 10.606
2.074 2.074 -10.606
La Ta Au
2 4 2
Direct
0.000 0.000 0.000
0.750 0.250 0.500
0.141 0.625 0.016
0.375 0.391 0.516
0.609 0.125 0.984
0.875 0.859 0.484
0.250 0.750 0.500
0.500 0.500 0.000
```

=====

no.,raw total energy (eV/cell),energy of formation (eV/atom),relative energy among the computed polymorphs (eV per atom)
1,-30.969,0.235,0.186
2,-31.032,0.220,0.171
3,-29.936,0.493,0.444
4,-59.844,0.497,0.448